The following is a DFT calculation (PBE) of crystalline Hf2Cu2Si at its relaxed geometry.

The structure in POSCAR format:
```
Hf2Cu2Si
1.0
6.3303 0.0000 0.0000
0.0000 6.3303 0.0000
0.0000 0.0000 4.0453
Cu Si Hf
4 2 4
Cartesian
2.3138 5.4789 0.0000
4.0166 0.8514 0.0000
5.4789 4.0166 0.0000
0.8514 2.3138 0.0000
3.1652 3.1652 0.0000
0.0000 0.0000 0.0000
4.2433 5.2522 2.0227
1.0781 4.2433 2.0227
5.2522 2.0871 2.0227
2.0871 1.0781 2.0227
```

Values from the calculation:
- total DFT energy (no corrections) (eV for the cell shown) = -70.292
- total moment (μB/cell) = 0.0
- crystal system = tetragonal

---

The following is a DFT calculation (PBE) of crystalline Rb2Cu2SbI6 at its relaxed geometry.

The structure in POSCAR format:
```
Rb2Cu2SbI6
1.0
-2.9712 2.3371 -7.3285
2.5480 -8.3162 0.9541
-7.2321 1.1413 3.2961
I Sb Rb Cu
6 1 2 2
Cartesian
-1.2411 -5.4549 -3.5792
-1.6839 -2.7702 -0.2007
-7.9145 1.7974 -3.2000
0.2593 -6.6351 0.1216
-6.4141 0.6172 0.5008
-5.9714 -2.0675 -2.8776
-5.1016 1.7392 -2.0162
-2.5308 -1.8388 -4.1996
-5.1244 -2.9989 1.1212
-1.3108 -0.3624 0.4159
-6.3444 -4.4754 -3.4943
```

Values from the calculation:
- total DFT energy (no corrections) (eV for the cell shown) = -29.984
- total moment (μB/cell) = 1.0
- crystal system = monoclinic

---

The following is a DFT calculation (PBE) of crystalline Ce4GeSe2Cl at its relaxed geometry.

The structure in POSCAR format:
```
Ce4GeSe2Cl
1.0
-0.4580 -2.1873 3.5568
-3.8016 -5.0602 -3.6012
4.4496 -5.0288 -2.5195
Ce Cl Se Ge
4 1 2 1
Cartesian
-0.3071 -4.7136 2.0227
-1.9618 -6.1362 -1.5456
2.1517 -6.1400 -1.0183
0.4971 -7.5626 -4.5865
0.3240 -5.0445 -3.0603
4.4496 -5.0288 -2.5195
1.9958 -3.6080 0.5187
2.3198 -8.6525 -2.5417
```

Values from the calculation:
- total DFT energy (no corrections) (eV for the cell shown) = -49.038
- total moment (μB/cell) = 3.1
- crystal system = monoclinic

---

The following is a DFT calculation (PBE) of crystalline Ho4SnTe4 at its relaxed geometry.

The structure in POSCAR format:
```
Ho4SnTe4
1.0
-1.6468 3.9193 0.8496
-7.4443 -0.9837 1.1696
-0.9423 -0.0936 9.6668
Sn Ho Te
1 4 4
Cartesian
-0.8234 1.9597 0.4248
-4.5057 3.1736 9.8097
-1.4905 1.0616 3.2749
-8.5429 1.7805 8.4111
-5.5277 -0.3316 1.8763
-7.8349 2.6902 5.5866
-5.6828 0.5280 8.6716
-2.1985 0.1518 6.0994
-4.3506 2.3140 3.0144
```

Values from the calculation:
- total DFT energy (no corrections) (eV for the cell shown) = -46.054
- total moment (μB/cell) = 0.0
- crystal system = monoclinic

---

The following is a DFT calculation (PBE) of crystalline MnCoP at its relaxed geometry.

The structure in POSCAR format:
```
MnCoP
1.0
-2.3799 0.3446 -1.2100
0.1340 -3.0727 -1.1385
-3.7505 -2.6205 6.6306
Mn P Co
2 2 2
Cartesian
-2.2805 -2.1728 0.8721
-4.2228 -1.9467 4.7567
-3.0852 -1.1519 2.7456
-1.1429 -1.3780 -1.1390
-2.1940 -3.1161 3.4279
-0.3857 -0.2695 0.6819
```

Values from the calculation:
- total DFT energy (no corrections) (eV for the cell shown) = -44.883
- total moment (μB/cell) = 6.2
- crystal system = orthorhombic

---

The following is a DFT calculation (PBE) of crystalline Pa2InC at its relaxed geometry.

The structure in POSCAR format:
```
Pa2InC
1.0
3.2784 -0.0111 0.0000
-1.6296 2.8447 0.0000
0.0000 0.0000 8.9338
Pa C In
2 1 1
Cartesian
0.6603 1.5123 2.8558
0.6603 1.5123 6.0780
-0.9756 2.4642 4.4669
2.2953 0.5609 0.0000
```

Values from the calculation:
- total DFT energy (no corrections) (eV for the cell shown) = -31.202
- total moment (μB/cell) = 0.0
- crystal system = hexagonal